Density functional theory data (PBE) for a geometry-optimized Sn3Pt structure.

Unit cell a=5.518 b=6.540 c=6.540 alpha=120.00 beta=90.00 gamma=90.00
Sites, in units of the cell vectors:
1 Sn 0.974 0.292 0.292
2 Sn 0.974 0.708 0.000
3 Sn 0.974 0.000 0.708
4 Sn 0.474 0.292 0.000
5 Sn 0.474 0.000 0.292
6 Sn 0.474 0.708 0.708
7 Pt 0.224 0.667 0.333
8 Pt 0.724 0.333 0.667

Calculated values
Energy of formation from the pure elements ... -0.22 eV/atom
Space group ... P6_322, No. 182
Fermi-level density of states ... 2.91 states/eV per cell
Excess energy over the best structure of this formula in the dataset ... 0.022 eV per atom